1.
Here is a relaxed AgSb2Os crystal from Alexandria via LeMat-Bulk. Energies are from PBE.

Its size of the total moment is 0.00 μB/cell. The value obtained for the uncorrected formation energy is 0.626 eV per atom. As for the symmetry: Cmm2. The energy above the lowest structure with this stoichiometry comes out at 0.3072 eV/atom.

a = 3.0727 Å, b = 3.0727 Å, c = 10.4231 Å
α = 90.00°, β = 90.00°, γ = 117.82°
Element x y z (fractional)
Ag 0.0000 0.0000 0.5222
Sb 0.5000 0.5000 0.2858
Sb 0.0000 0.0000 0.9473
Os 0.5000 0.5000 0.7447

---

2.
Here is a relaxed PmGaSe crystal from Alexandria via LeMat-Bulk. Energies are from PBE.

Its size of the total moment is 0.00 μB/cell. The value obtained for the uncorrected formation energy is -1.059 eV per atom. As for the symmetry: C2/m.

a = 3.9562 Å, b = 11.9014 Å, c = 5.5602 Å
α = 138.89°, β = 110.84°, γ = 90.00°
Element x y z (fractional)
Pm 0.7133 0.7853 0.4266
Pm 0.2867 0.2147 0.5734
Se 0.4857 0.1243 0.9714
Se 0.5143 0.8757 0.0286
Ga 0.1673 0.5037 0.3346
Ga 0.8327 0.4963 0.6654

---

3.
Here is a relaxed Sc2SbS crystal from Alexandria via LeMat-Bulk. Energies are from PBE.

Its size of the total moment is 0.00 μB/cell. The value obtained for the uncorrected formation energy is -0.856 eV per atom. As for the symmetry: R-3m. The energy above the lowest structure with this stoichiometry comes out at 0.5689 eV/atom.

a = 7.8941 Å, b = 7.8941 Å, c = 7.8941 Å
α = 32.51°, β = 32.51°, γ = 32.51°
Element x y z (fractional)
S 0.0000 0.0000 0.0000
Sc 0.1044 0.1044 0.1044
Sc 0.8956 0.8956 0.8956
Sb 0.5000 0.5000 0.5000

---

4.
Here is a relaxed CeZn9Ag2 crystal from Alexandria via LeMat-Bulk. Energies are from PBE.

Its formation energy is -0.113 eV/atom. Its size of the total moment is 1.04 μB/cell. As for the symmetry: R-3m. The energy above the lowest structure with this stoichiometry comes out at 0.0000 eV/atom.

a = 5.2537 Å, b = 5.2537 Å, c = 8.9489 Å
α = 72.93°, β = 72.93°, γ = 60.00°
Each line ends with the local moment (μB).
Element x y z (fractional)
Zn 0.9189 0.4099 0.2614  0.01
Zn 0.5901 0.5901 0.7386  0.01
Zn 0.0811 0.5901 0.7386  0.01
Zn 0.6664 0.6664 0.0008  0.01
Zn 0.3336 0.3336 0.9992  0.01
Zn 0.4099 0.9189 0.2614  0.01
Zn 0.5901 0.0811 0.7386  0.01
Zn 0.5000 0.5000 0.5000  0.01
Zn 0.4099 0.4099 0.2614  0.01
Ce 0.0000 0.0000 0.0000  0.81
Ag 0.1360 0.1360 0.5920  0.01
Ag 0.8640 0.8640 0.4080  0.01

---

Number 1: volume 87.0 Å³/cell. Number 2: volume 144.8 Å³/cell. Number 3: volume 126.3 Å³/cell. Number 4: volume 201.2 Å³/cell.